# 1
! EuZrPt2 PBE optimized geometry; values from VASP
&SYSTEM
  ibrav = 0, nat = 4, ntyp = 3
/
ATOMIC_SPECIES
Eu 151.96 Eu.upf
Zr 91.22 Zr.upf
Pt 195.08 Pt.upf
ATOMIC_POSITIONS angstrom
Eu 3.685 -1.829 4.010
Zr 0.000 0.000 0.000
Pt 5.774 -2.657 6.049
Pt 1.597 -1.001 1.970
CELL_PARAMETERS angstrom
-0.275 -0.790 3.941
1.076 -3.618 1.410
6.570 0.749 2.668
! Formation energy from the elements ... -0.8211 eV per atom
! ΔE to the lowest computed polymorph ... 13.8 kJ per mole of atoms
! Space group ... R-3m (166)
! V ... 95 Å³/cell

=====

# 2
! EuZrPt2 PBE optimized geometry; values from VASP
&SYSTEM
  ibrav = 0, nat = 4, ntyp = 3
/
ATOMIC_SPECIES
Eu 151.96 Eu.upf
Zr 91.22 Zr.upf
Pt 195.08 Pt.upf
ATOMIC_POSITIONS angstrom
Eu 1.568 2.554 2.554
Zr 1.568 0.000 0.000
Pt 0.000 0.000 2.554
Pt 0.000 2.554 0.000
CELL_PARAMETERS angstrom
3.137 0.000 0.000
0.000 5.109 0.000
0.000 0.000 5.109
! Formation energy from the elements ... -0.8256 eV per atom
! ΔE to the lowest computed polymorph ... 13.4 kJ per mole of atoms
! Space group ... P4/mmm (123)
! V ... 82 Å³/cell

=====

# 3
! Eu6Pu PBE optimized geometry; values from VASP
&SYSTEM
  ibrav = 0, nat = 7, ntyp = 2
/
ATOMIC_SPECIES
Eu 151.96 Eu.upf
Pu 244.00 Pu.upf
ATOMIC_POSITIONS angstrom
Eu 2.609 -3.465 2.170
Eu 0.264 -4.791 0.704
Eu 2.081 -1.231 4.204
Eu -3.139 -1.650 3.308
Eu -0.793 -0.324 4.773
Eu -2.610 -3.884 1.274
Pu 0.000 0.000 0.000
CELL_PARAMETERS angstrom
-7.136 -2.264 0.631
4.360 -5.893 -1.646
2.246 3.042 6.492
! Formation energy from the elements ... 1.1840 eV per atom
! Space group ... Im-3m (229)
! V ... 326 Å³/cell